Entry 1:
Density functional theory data (PBE) for a relaxed AlRh crystal.

Properties
- magnetization (μB per formula unit) = 0.00
- energy relative to the elements (eV/atom) = -0.3823
- volume (Å³/atom) = 14.75
- ρ (g/cm3) = 7.3

Lattice parameters (Å, degrees): 2.8532 2.8532 8.3676 90.00 90.00 120.00
Last column: nearest neighbours and their distance in Å.
Space group P-3m1 (No. 164)
Symmetry-distinct sites (fractional):
Al  0.3333  0.6667  0.1389 [2 per cell]  3 Rh 2.50
Rh  0.3333  0.6667  0.6370 [2 per cell]  3 Al 2.50

=====

Entry 2:
Density functional theory data (PBE) for a relaxed ScNCl2 crystal.

Properties
- magnetization (μB per formula unit) = 2.35
- volume (Å³/atom) = 27.12
- E_form (uncorrected) (kJ per mole of atoms) = -11.5
- ρ (g/cm3) = 2.0
- energy above the most stable polymorph in this dataset (meV per atom) = 0.0

Lattice parameters (Å, degrees): 3.5936 3.5936 29.0970 90.00 90.00 120.00
Last column: nearest neighbours and their distance in Å.
Space group R-3m (No. 166, hexagonal axes)
Symmetry-distinct sites (fractional):
Sc  0.0000  0.0000  0.0000 [3 per cell]  6 Cl 2.58
N  0.0000  0.0000  0.5000 [3 per cell]  2 Cl 3.32, 6 N 3.59
Cl  0.0000  0.0000  0.3859 [6 per cell]  3 Sc 2.58

=====

Entry 3:
Density functional theory data (PBE) for a relaxed Mg2AlAg crystal.

Properties
- magnetization (μB per formula unit) = 0.00
- energy relative to the elements (eV/atom) = 0.1971
- volume (Å³/atom) = 21.56
- ρ (g/cm3) = 3.5

Lattice parameters (Å, degrees): 7.7775 7.7775 5.7041 90.00 90.00 90.00
Last column: nearest neighbours and their distance in Å.
Space group I-42d (No. 122)
Symmetry-distinct sites (fractional):
Mg  0.2301  0.7500  0.1250 [8 per cell]  2 Ag 2.74, 2 Mg 2.87, 2 Al 2.95
Al  0.0000  0.0000  0.5000 [4 per cell]  2 Ag 2.85, 4 Mg 2.95
Ag  0.0000  0.0000  0.0000 [4 per cell]  4 Mg 2.74, 2 Al 2.85